AlTlPb2 (GGA-PBE, optimized geometry); space-group type = F-43m, No. 216; DFT formation energy = 0.228 eV per atom; total energy = -3.15 eV per atom
1.0
0.000 3.870 3.870
3.870 0.000 3.870
3.870 3.870 0.000
Al Tl Pb
1 1 2
Direct
0.000 0.000 0.000
0.750 0.750 0.750
0.250 0.250 0.250
0.500 0.500 0.500

=====

YMgOs2 (GGA-PBE, optimized geometry); space-group type = C2/m, No. 12; DFT formation energy = 0.286 eV per atom; total energy = -7.34 eV per atom
1.0
4.546 -1.489 0.000
4.546 1.489 0.000
-0.916 0.000 5.455
Y Mg Os
1 1 2
Direct
0.000 0.000 0.000
0.500 0.500 0.500
0.245 0.245 0.693
0.755 0.755 0.307

=====

| no. | total magnetic moment (μB/atom) |
| --- | --- |
| 1 | 0.0000 |
| 2 | 0.0000 |